LaTiNb2, optimized geometry, DFT PBE-GGA; crystal system = cubic; spin magnetization = 0.0 Bohr magnetons per cell; energy above the lowest structure with this stoichiometry = 0.000 eV per formula unit; space group = No. 225; energy relative to the elements = 0.4273 eV/atom
1.0
0.000 3.449 3.449
3.449 0.000 3.449
3.449 3.449 0.000
La Ti Nb
1 1 2
Cartesian
0.000 0.000 0.000
3.449 3.449 3.449
1.725 1.725 1.725
5.174 5.174 5.174